## Tl2SnH2 (PBE)

Data for an optimized crystal structure of Tl2SnH2.

Cell: 4.961 4.961 8.562 Å, 91.03 90.00 120.00°
Fractional coordinates of all 5 atoms:
Tl 0.670 0.339 0.143
Tl 0.330 0.661 0.857
Sn 0.000 0.000 0.000
H 0.000 0.000 0.456
H 0.000 0.000 0.544

Computed properties:
- crystal system = monoclinic
- electronic total energy (eV/atom) = -2.947
- spin magnetization (μB/f.u.) = 0.0
- offset from the most stable computed form (eV per atom) = 0.0000
- space-group type = C2/m (12)